No. 1
This record from Alexandria describes crystalline Na3CuBi at its relaxed geometry. The functional is GGA-PBE.

Structure (CIF):
```
data_Na3CuBi
_chemical_formula_sum 'Na3 Cu1 Bi1'
_cell_length_a 5.937
_cell_length_b 5.937
_cell_length_c 5.937
_cell_angle_alpha 90.00
_cell_angle_beta 90.00
_cell_angle_gamma 90.00
_symmetry_space_group_name_H-M 'P m -3 m'
_symmetry_Int_Tables_number 221
_symmetry_space_group_name_Hall '-P 4 2 3'
loop_
_atom_site_label
_atom_site_type_symbol
_atom_site_fract_x
_atom_site_fract_y
_atom_site_fract_z
Na1 Na 0.000 0.000 0.500
Cu1 Cu 0.500 0.500 0.500
Bi1 Bi 0.000 0.000 0.000
```

Summary:
Calculated density ... 2.709 g/cm³
Crystal system ... cubic
Total magnetization ... 0.000 μB per formula unit
Energy of formation from the pure elements ... 360 meV/atom
D(E_F) ... 0.7386 states/eV per atom

=====

No. 2
This record from Alexandria describes crystalline NaCuBi3 at its relaxed geometry. The functional is GGA-PBE.

Structure (CIF):
```
data_NaCuBi3
_chemical_formula_sum 'Na1 Cu1 Bi3'
_cell_length_a 5.371
_cell_length_b 5.371
_cell_length_c 5.371
_cell_angle_alpha 90.00
_cell_angle_beta 90.00
_cell_angle_gamma 90.00
_symmetry_space_group_name_H-M 'P m -3 m'
_symmetry_Int_Tables_number 221
_symmetry_space_group_name_Hall '-P 4 2 3'
loop_
_atom_site_label
_atom_site_type_symbol
_atom_site_fract_x
_atom_site_fract_y
_atom_site_fract_z
Na1 Na 0.000 0.000 0.000
Cu1 Cu 0.500 0.500 0.500
Bi1 Bi 0.000 0.500 0.500
```

Summary:
Calculated density ... 7.646 g/cm³
Crystal system ... cubic
Total magnetization ... 0.000 μB per formula unit
Energy of formation from the pure elements ... 165 meV/atom
D(E_F) ... 0.5294 states/eV per atom

=====

No. 3
This record from Alexandria describes crystalline NaCu4Bi at its relaxed geometry. The functional is GGA-PBE.

Structure (CIF):
```
data_NaCu4Bi
_chemical_formula_sum 'Na4 Cu16 Bi4'
_cell_length_a 7.292
_cell_length_b 7.292
_cell_length_c 7.292
_cell_angle_alpha 90.00
_cell_angle_beta 90.00
_cell_angle_gamma 90.00
_symmetry_space_group_name_H-M 'F -4 3 m'
_symmetry_Int_Tables_number 216
_symmetry_space_group_name_Hall 'F -4 2 3'
loop_
_atom_site_label
_atom_site_type_symbol
_atom_site_fract_x
_atom_site_fract_y
_atom_site_fract_z
Na1 Na 0.000 0.000 0.000
Cu1 Cu 0.126 0.126 0.626
Bi1 Bi 0.250 0.250 0.250
```

Summary:
Calculated density ... 8.327 g/cm³
Crystal system ... cubic
Total magnetization ... 0.000 μB per formula unit
Energy of formation from the pure elements ... 26 meV/atom
D(E_F) ... 0.2914 states/eV per atom

=====

No. 4
This record from Alexandria describes crystalline Na2Cu2Bi at its relaxed geometry. The functional is GGA-PBE.

Structure (CIF):
```
data_Na2Cu2Bi
_chemical_formula_sum 'Na4 Cu4 Bi2'
_cell_length_a 6.881
_cell_length_b 6.881
_cell_length_c 4.847
_cell_angle_alpha 90.00
_cell_angle_beta 90.00
_cell_angle_gamma 90.00
_symmetry_space_group_name_H-M 'P 4/m b m'
_symmetry_Int_Tables_number 127
_symmetry_space_group_name_Hall '-P 4 2ab'
loop_
_atom_site_label
_atom_site_type_symbol
_atom_site_fract_x
_atom_site_fract_y
_atom_site_fract_z
Na1 Na 0.177 0.323 0.000
Cu1 Cu 0.125 0.625 0.500
Bi1 Bi 0.000 0.000 0.500
```

Summary:
Calculated density ... 5.528 g/cm³
Crystal system ... tetragonal
Total magnetization ... 0.000 μB per formula unit
Energy of formation from the pure elements ... 72 meV/atom
D(E_F) ... 0.3764 states/eV per atom